(1)
The following is a DFT calculation (GGA-PBE) of a geometry-optimized CoGe3P structure.

Values from the calculation:
- Energy of formation from the pure elements: 1049 meV/atom

Cell lengths 4.7145, 4.7145, 4.7145 Å; angles 90.00, 90.00, 90.00 degrees
Atoms (fractional coordinates):
P 0.0000 0.0000 0.0000
Ge 0.0000 0.5000 0.0000
Ge 0.0000 0.0000 0.5000
Ge 0.5000 0.0000 0.0000
Co 0.5000 0.5000 0.5000



(2)
The following is a DFT calculation (GGA-PBE) of a geometry-optimized CoGeP structure.

Values from the calculation:
- Energy of formation from the pure elements: -103 meV/atom

Cell lengths 5.6299, 5.6299, 5.6299 Å; angles 90.00, 90.00, 90.00 degrees
Atoms (fractional coordinates):
Co 0.0382 0.0382 0.0382
Co 0.4618 0.9618 0.5382
Co 0.5382 0.4618 0.9618
Co 0.9618 0.5382 0.4618
Ge 0.3478 0.3478 0.3478
Ge 0.1522 0.6522 0.8478
Ge 0.8478 0.1522 0.6522
Ge 0.6522 0.8478 0.1522
P 0.6300 0.6300 0.6300
P 0.8700 0.3700 0.1300
P 0.1300 0.8700 0.3700
P 0.3700 0.1300 0.8700



(3)
The following is a DFT calculation (GGA-PBE) of a geometry-optimized Co2GeP structure.

Values from the calculation:
- Energy of formation from the pure elements: 118 meV/atom

Cell lengths 5.1124, 5.1124, 6.2614 Å; angles 65.91, 65.91, 90.00 degrees
Atoms (fractional coordinates):
P 0.5000 0.5000 0.0000
P 0.2500 0.7500 0.5000
Ge 0.0000 0.0000 0.0000
Ge 0.7500 0.2500 0.5000
Co 0.5933 0.1250 0.2500
Co 0.1567 0.6250 0.2500
Co 0.3750 0.4067 0.7500
Co 0.8750 0.8433 0.7500



(4)
The following is a DFT calculation (GGA-PBE) of a geometry-optimized Pa3Co9GeP2 structure.

Values from the calculation:
- Energy of formation from the pure elements: -375 meV/atom

Cell lengths 5.1873, 5.1873, 9.7630 Å; angles 90.00, 90.00, 120.00 degrees
Atoms (fractional coordinates):
Pa 0.3333 0.6667 0.6437
Pa 0.0000 0.0000 0.0000
Pa 0.6667 0.3333 0.3563
Co 0.8360 0.1640 0.6866
Co 0.8360 0.6720 0.6866
Co 0.3280 0.1640 0.6866
Co 0.6720 0.8360 0.3134
Co 0.1640 0.3280 0.3134
Co 0.1640 0.8360 0.3134
Co 0.5000 0.0000 0.0000
Co 0.0000 0.5000 0.0000
Co 0.5000 0.5000 0.0000
Ge 0.0000 0.0000 0.5000
P 0.3333 0.6667 0.1596
P 0.6667 0.3333 0.8404